[1]
# InHg2 | the Alexandria database | PBE | optimized geometry
# * ΔE_f: 0.007 eV per atom
# * DOS(E_F): 0.2338 states/eV per atom
data_InHg2
_cell_length_a 4.739
_cell_length_b 10.458
_cell_length_c 6.809
_cell_angle_alpha 90.00
_cell_angle_beta 107.49
_cell_angle_gamma 90.00
_space_group_name_H-M_alt 'P 1 21/c 1'
_space_group_IT_number 14
loop_
_space_group_symop_operation_xyz
'x,y,z'
'-x,-y,-z'
'-x,y+1/2,-z+1/2'
'x,-y+1/2,z+1/2'
loop_
_atom_site_label
_atom_site_fract_x
_atom_site_fract_y
_atom_site_fract_z
In1 0.082 0.122 0.175
Hg1 0.254 0.620 0.995
Hg2 0.414 0.120 0.839

---

[2]
# MnCr2N | the Alexandria database | PBE | optimized geometry
# * DOS(E_F): 1.0346 states/eV per atom
# * formation energy (no corrections): -158 meV per atom
data_MnCr2N
_cell_length_a 2.596
_cell_length_b 8.495
_cell_length_c 7.019
_cell_angle_alpha 90.00
_cell_angle_beta 90.00
_cell_angle_gamma 90.00
_space_group_name_H-M_alt 'C m c m'
_space_group_IT_number 63
_space_group_name_Hall '-C 2c 2'
loop_
_atom_site_label
_atom_site_fract_x
_atom_site_fract_y
_atom_site_fract_z
Mn1 0.000 0.098 0.250
Cr1 0.000 0.375 0.077
N1 0.000 0.228 0.750